! CuRhPb2 GGA-PBE relaxed; values from VASP
&SYSTEM
  ibrav = 0, nat = 4, ntyp = 3
/
ATOMIC_SPECIES
Pb 207.20 Pb.upf
Cu 63.55 Cu.upf
Rh 102.91 Rh.upf
CELL_PARAMETERS angstrom
-0.6260 -0.5706 -4.1923
3.6711 0.1478 -0.5683
2.1523 -5.0407 0.3647
ATOMIC_POSITIONS crystal
Pb 0.0000 0.9824 0.9095
Pb 0.5000 0.2716 0.3327
Cu 0.5000 0.5472 0.7797
Rh 0.0000 0.6988 0.4780
! Crystal system: monoclinic
! Calculated formation energy in eV/atom: 0.05
! V in Å³/f.u.: 82.1
! Energy in eV per atom: -4.67
! Total magnetic moment in μB/f.u.: 0.00
! Mass density in Mg/m³: 11.7

! CuRh2Pb GGA-PBE relaxed; values from VASP
&SYSTEM
  ibrav = 0, nat = 4, ntyp = 3
/
ATOMIC_SPECIES
Rh 102.91 Rh.upf
Pb 207.20 Pb.upf
Cu 63.55 Cu.upf
CELL_PARAMETERS angstrom
-4.1163 1.3845 0.5508
-0.9489 -2.0441 -1.9536
-0.7682 -3.6651 3.4716
ATOMIC_POSITIONS crystal
Rh 0.0000 0.4707 0.4750
Rh 0.0000 0.0293 0.0250
Pb 0.5000 0.7500 0.7500
Cu 0.5000 0.2500 0.2500
! Crystal system: monoclinic
! Calculated formation energy in eV/atom: 0.21
! V in Å³/f.u.: 66.4
! Energy in eV per atom: -5.42
! Total magnetic moment in μB/f.u.: 0.00
! Mass density in Mg/m³: 11.9

! CuRh2Pb GGA-PBE relaxed; values from VASP
&SYSTEM
  ibrav = 0, nat = 4, ntyp = 3
/
ATOMIC_SPECIES
Rh 102.91 Rh.upf
Pb 207.20 Pb.upf
Cu 63.55 Cu.upf
CELL_PARAMETERS angstrom
2.9921 0.0000 0.0000
0.0000 3.8345 0.0000
0.0000 0.0000 5.7363
ATOMIC_POSITIONS crystal
Rh 0.0000 0.0000 0.0120
Pb 0.5000 0.5000 0.7551
Rh 0.5000 0.5000 0.2719
Cu 0.0000 0.0000 0.4610
! Crystal system: orthorhombic
! Calculated formation energy in eV/atom: 0.21
! V in Å³/f.u.: 65.8
! Energy in eV per atom: -5.42
! Total magnetic moment in μB/f.u.: 0.00
! Mass density in Mg/m³: 12.0

! CuRhPb2 GGA-PBE relaxed; values from VASP
&SYSTEM
  ibrav = 0, nat = 8, ntyp = 3
/
ATOMIC_SPECIES
Cu 63.55 Cu.upf
Pb 207.20 Pb.upf
Rh 102.91 Rh.upf
CELL_PARAMETERS angstrom
4.5671 0.0000 0.0000
0.0000 4.5671 0.0000
2.2835 2.2835 8.8220
ATOMIC_POSITIONS crystal
Cu 0.2500 0.7500 0.5000
Pb 0.1277 0.6250 0.2500
Cu 0.5000 0.5000 0.0000
Pb 0.8750 0.8723 0.7500
Rh 0.7500 0.2500 0.5000
Pb 0.6223 0.1250 0.2500
Pb 0.3750 0.3777 0.7500
Rh 0.0000 0.0000 0.0000
! Crystal system: tetragonal
! Calculated formation energy in eV/atom: 0.40
! V in Å³/f.u.: 92.0
! Energy in eV per atom: -4.32
! Total magnetic moment in μB/f.u.: 0.00
! Mass density in Mg/m³: 10.5